# 1
Compound: Pr6DyTl5
Source: the Alexandria database
Functional: GGA-PBE
Structure: relaxed

For the spin magnetization, the calculation gives 0.0000 μB/atom. As for the space group: Immm. Its density of states at the Fermi level is 12.94 states/eV/cell. The value obtained for the energy relative to the elements is -303 meV per atom. The value obtained for the polymorph energy (0 for the lowest one) is 0 meV per atom.

a b c (Å): 5.1387 9.1904 9.4201
angles (deg): 119.19 105.87 89.99
Closest atoms and distances in Å follow each position.
Sites, in units of the cell vectors:
Pr (0.1711, 0.9107, 0.3428)  7 Tl 3.38-3.56, 4 Pr 3.56-3.71, 1 Dy 3.59
Tl (0.6732, 0.6733, 0.3467)  8 Pr 3.38-3.45, 4 Tl 3.73-3.78
Tl (0.3268, 0.3267, 0.6533)  8 Pr 3.38-3.45, 4 Tl 3.73-3.78
Tl (0.6497, 0.1495, 0.2991)  8 Pr 3.39-3.56, 2 Dy 3.47, 2 Tl 3.77-3.78
Pr (0.8289, 0.5680, 0.6572)  7 Tl 3.38-3.56, 4 Pr 3.56-3.71, 1 Dy 3.59
Dy (0.0000, 0.0000, 0.0000)  4 Tl 3.47, 8 Pr 3.55-3.59
Tl (0.0000, 0.5000, 0.0000)  8 Pr 3.35-3.47, 4 Tl 3.73
Pr (0.5000, 0.2666, 0.0000)  6 Tl 3.35-3.45, 2 Dy 3.55, 4 Pr 3.71
Pr (0.5000, 0.7334, 0.0000)  6 Tl 3.35-3.45, 2 Dy 3.55, 4 Pr 3.71
Tl (0.3503, 0.8505, 0.7009)  8 Pr 3.39-3.56, 2 Dy 3.47, 2 Tl 3.77-3.78
Pr (0.1711, 0.4320, 0.3428)  7 Tl 3.38-3.56, 4 Pr 3.56-3.71, 1 Dy 3.59
Pr (0.8289, 0.0893, 0.6572)  7 Tl 3.38-3.56, 4 Pr 3.56-3.71, 1 Dy 3.59

---

# 2
Compound: Be2WSe
Source: the Alexandria database
Functional: GGA-PBE
Structure: relaxed

For the spin magnetization, the calculation gives 0.0000 μB/atom. As for the space group: P4/mmm. As for the uncorrected formation energy: 0.47 eV/atom. Its density of states at the Fermi level is 1.92 states/eV/cell.

a b c (Å): 2.6781 2.6781 8.3839
angles (deg): 90.00 90.00 90.00
Closest atoms and distances in Å follow each position.
Sites, in units of the cell vectors:
Be (0.0000, 0.0000, 0.9544)  4 W 2.55, 4 Be 2.68
W (0.5000, 0.5000, 0.7500)  8 Be 2.55, 4 W 2.68
Be (0.0000, 0.0000, 0.5456)  4 W 2.55, 4 Be 2.68
Se (0.5000, 0.5000, 0.2500)  4 Se 2.68

---

# 3
Compound: CeScNiRu
Source: the Alexandria database
Functional: GGA-PBE
Structure: relaxed

For the spin magnetization, the calculation gives 0.0597 μB/atom. As for the space group: F-43m. Its density of states at the Fermi level is 4.42 states/eV/cell. The value obtained for the energy relative to the elements is -385 meV per atom.

a b c (Å): 4.7042 4.7042 4.7042
angles (deg): 60.00 60.00 60.00
Closest atoms and distances in Å follow each position.
Sites, in units of the cell vectors:
Ni (0.2500, 0.2500, 0.2500)  4 Ce 2.88, 4 Sc 2.88
Ce (0.5000, 0.5000, 0.5000)  4 Ru 2.88, 4 Ni 2.88
Ru (0.7500, 0.7500, 0.7500)  4 Sc 2.88, 4 Ce 2.88
Sc (0.0000, 0.0000, 0.0000)  4 Ru 2.88, 4 Ni 2.88